1.
VASP calculation (GGA-PBE) on a relaxed PmPrSbCl crystal.

Unit cell a=5.349 b=5.349 c=5.349 alpha=60.00 beta=60.00 gamma=60.00
Element x y z (fractional)
Pm (0.000, 0.000, 0.000)
Pr (0.500, 0.500, 0.500)
Sb (0.250, 0.250, 0.250)
Cl (0.750, 0.750, 0.750)

* formation energy (no corrections): -1.211 eV/atom
* final energy: -5.09 eV per atom
* calculated density: 6.8 g cm⁻³
* SG: F-43m

***

2.
VASP calculation (GGA-PBE) on a relaxed PmPrSe2Cl crystal.

Unit cell a=4.240 b=4.240 c=14.280 alpha=90.00 beta=90.00 gamma=90.00
Element x y z (fractional)
Pm (0.250, 0.250, 0.092)
Pm (0.750, 0.750, 0.908)
Pr (0.250, 0.250, 0.645)
Pr (0.750, 0.750, 0.355)
Se (0.250, 0.250, 0.299)
Se (0.250, 0.250, 0.880)
Se (0.750, 0.750, 0.120)
Se (0.750, 0.750, 0.701)
Cl (0.250, 0.750, 0.500)
Cl (0.750, 0.250, 0.500)

* formation energy (no corrections): -1.922 eV/atom
* final energy: -5.59 eV per atom
* calculated density: 6.2 g cm⁻³
* SG: P4/nmm

***

3.
VASP calculation (GGA-PBE) on a relaxed PmPrSeCl crystal.

Unit cell a=5.114 b=5.114 c=5.114 alpha=60.00 beta=60.00 gamma=60.00
Element x y z (fractional)
Pm (0.000, 0.000, 0.000)
Pr (0.500, 0.500, 0.500)
Se (0.250, 0.250, 0.250)
Cl (0.750, 0.750, 0.750)

* formation energy (no corrections): -1.467 eV/atom
* final energy: -5.18 eV per atom
* calculated density: 7.0 g cm⁻³
* SG: F-43m

***

4.
VASP calculation (GGA-PBE) on a relaxed PmPrSiCl crystal.

Unit cell a=5.165 b=5.165 c=5.165 alpha=60.00 beta=60.00 gamma=60.00
Element x y z (fractional)
Pm (0.000, 0.000, 0.000)
Pr (0.500, 0.500, 0.500)
Si (0.750, 0.750, 0.750)
Cl (0.250, 0.250, 0.250)

* ΔE to the lowest computed polymorph: 0.00 kJ/mol of atoms
* formation energy (no corrections): -0.953 eV/atom
* final energy: -5.15 eV per atom
* calculated density: 6.0 g cm⁻³
* SG: F-43m

***

5.
VASP calculation (GGA-PBE) on a relaxed PmPrSiCl crystal.

Unit cell a=5.835 b=5.012 c=5.012 alpha=59.39 beta=90.00 gamma=90.00
Element x y z (fractional)
Pm (0.000, 0.000, 0.000)
Pr (0.500, 0.331, 0.331)
Si (0.000, 0.331, 0.331)
Cl (0.500, 0.000, 0.000)

* ΔE to the lowest computed polymorph: 5.81 kJ/mol of atoms
* formation energy (no corrections): -0.893 eV/atom
* final energy: -5.09 eV per atom
* calculated density: 4.6 g cm⁻³
* SG: Amm2

***

6.
VASP calculation (GGA-PBE) on a relaxed PmPrSnCl crystal.

Unit cell a=5.386 b=5.386 c=5.386 alpha=60.00 beta=60.00 gamma=60.00
Element x y z (fractional)
Pm (0.000, 0.000, 0.000)
Pr (0.500, 0.500, 0.500)
Sn (0.750, 0.750, 0.750)
Cl (0.250, 0.250, 0.250)

* formation energy (no corrections): -0.991 eV/atom
* final energy: -4.84 eV per atom
* calculated density: 6.6 g cm⁻³
* SG: F-43m

***

7.
VASP calculation (GGA-PBE) on a relaxed PmPrTeCl crystal.

Unit cell a=5.315 b=5.315 c=5.315 alpha=60.00 beta=60.00 gamma=60.00
Element x y z (fractional)
Pm (0.000, 0.000, 0.000)
Pr (0.500, 0.500, 0.500)
Te (0.750, 0.750, 0.750)
Cl (0.250, 0.250, 0.250)

* formation energy (no corrections): -1.309 eV/atom
* final energy: -4.94 eV per atom
* calculated density: 7.0 g cm⁻³
* SG: F-43m

***

8.
VASP calculation (GGA-PBE) on a relaxed Pm4Pr2Tl3Cl2 crystal.

Unit cell a=12.423 b=12.423 c=12.423 alpha=154.89 beta=154.89 gamma=35.81
Element x y z (fractional)
Pm (0.086, 0.586, 0.500)
Pm (0.414, 0.914, 0.500)
Pm (0.586, 0.086, 0.500)
Pm (0.914, 0.414, 0.500)
Pr (0.202, 0.202, 0.000)
Pr (0.798, 0.798, 0.000)
Tl (0.338, 0.338, 0.000)
Tl (0.500, 0.500, 0.000)
Tl (0.662, 0.662, 0.000)
Cl (0.074, 0.074, 0.000)
Cl (0.926, 0.926, 0.000)

* formation energy (no corrections): -0.622 eV/atom
* final energy: -4.20 eV per atom
* calculated density: 7.4 g cm⁻³
* SG: I4/mmm

***

9.
VASP calculation (GGA-PBE) on a relaxed Pm2PtCl2 crystal.

Unit cell a=10.772 b=10.772 c=10.772 alpha=21.81 beta=21.81 gamma=21.81
Element x y z (fractional)
Pm (0.113, 0.113, 0.113)
Pm (0.887, 0.887, 0.887)
Pt (0.500, 0.500, 0.500)
Cl (0.276, 0.276, 0.276)
Cl (0.724, 0.724, 0.724)

* formation energy (no corrections): -1.667 eV/atom
* final energy: -5.51 eV per atom
* calculated density: 6.1 g cm⁻³
* SG: R-3m

***

10.
VASP calculation (GGA-PBE) on a relaxed PmPtCl crystal.

Unit cell a=11.066 b=11.066 c=11.066 alpha=21.96 beta=21.96 gamma=21.96
Element x y z (fractional)
Pm (0.065, 0.065, 0.065)
Pm (0.935, 0.935, 0.935)
Pt (0.350, 0.350, 0.350)
Pt (0.650, 0.650, 0.650)
Cl (0.217, 0.217, 0.217)
Cl (0.783, 0.783, 0.783)

* formation energy (no corrections): -1.553 eV/atom
* final energy: -5.77 eV per atom
* calculated density: 7.5 g cm⁻³
* SG: R-3m

***

11.
VASP calculation (GGA-PBE) on a relaxed Pm6Pt2Cl crystal.

Unit cell a=6.702 b=7.402 c=12.135 alpha=90.00 beta=121.47 gamma=90.00
Element x y z (fractional)
Pm (0.082, 0.189, 0.428)
Pm (0.082, 0.311, 0.928)
Pm (0.256, 0.663, 0.427)
Pm (0.256, 0.837, 0.927)
Pm (0.404, 0.039, 0.242)
Pm (0.404, 0.461, 0.742)
Pm (0.596, 0.539, 0.258)
Pm (0.596, 0.961, 0.758)
Pm (0.744, 0.163, 0.073)
Pm (0.744, 0.337, 0.573)
Pm (0.918, 0.689, 0.072)
Pm (0.918, 0.811, 0.572)
Pt (0.172, 0.121, 0.738)
Pt (0.172, 0.379, 0.238)
Pt (0.828, 0.621, 0.762)
Pt (0.828, 0.879, 0.262)
Cl (0.500, 0.000, 0.500)
Cl (0.500, 0.500, 0.000)

* formation energy (no corrections): -0.875 eV/atom
* final energy: -5.59 eV per atom
* calculated density: 8.4 g cm⁻³
* SG: P2_1/c

***

12.
VASP calculation (GGA-PBE) on a relaxed PmPtCl6 crystal.

Unit cell a=6.358 b=6.378 c=6.886 alpha=62.69 beta=89.77 gamma=63.25
Element x y z (fractional)
Pm (0.000, 0.000, 0.000)
Pt (0.500, 0.000, 0.500)
Cl (0.100, 0.482, 0.254)
Cl (0.279, 0.825, 0.735)
Cl (0.432, 0.846, 0.268)
Cl (0.568, 0.154, 0.732)
Cl (0.721, 0.175, 0.265)
Cl (0.900, 0.518, 0.746)

* formation energy (no corrections): -1.202 eV/atom
* final energy: -3.94 eV per atom
* calculated density: 4.3 g cm⁻³
* SG: P-1

***

13.
VASP calculation (GGA-PBE) on a relaxed Pm2PtCl crystal.

Unit cell a=8.003 b=8.003 c=8.003 alpha=29.87 beta=29.87 gamma=29.87
Element x y z (fractional)
Pm (0.000, 0.000, 0.000)
Pm (0.196, 0.196, 0.196)
Pt (0.598, 0.598, 0.598)
Cl (0.428, 0.428, 0.428)

* ΔE to the lowest computed polymorph: 3.28 kJ/mol of atoms
* formation energy (no corrections): -1.316 eV/atom
* final energy: -5.66 eV per atom
* calculated density: 7.7 g cm⁻³
* SG: R3m

***

14.
VASP calculation (GGA-PBE) on a relaxed Pm2PtCl crystal.

Unit cell a=4.162 b=4.162 c=7.767 alpha=105.43 beta=105.43 gamma=60.03
Element x y z (fractional)
Pm (0.236, 0.236, 0.210)
Pm (0.764, 0.764, 0.790)
Pt (0.500, 0.500, 0.000)
Cl (0.000, 0.000, 0.500)

* ΔE to the lowest computed polymorph: 0.00 kJ/mol of atoms
* formation energy (no corrections): -1.350 eV/atom
* final energy: -5.70 eV per atom
* calculated density: 7.8 g cm⁻³
* SG: C2/m

***

15.
VASP calculation (GGA-PBE) on a relaxed Pm2PtCl crystal.

Unit cell a=3.458 b=3.458 c=8.109 alpha=90.00 beta=90.00 gamma=90.00
Element x y z (fractional)
Pm (0.000, 0.000, 0.222)
Pm (0.000, 0.000, 0.778)
Pt (0.500, 0.500, 0.000)
Cl (0.500, 0.500, 0.500)

* ΔE to the lowest computed polymorph: 18.76 kJ/mol of atoms
* formation energy (no corrections): -1.155 eV/atom
* final energy: -5.50 eV per atom
* calculated density: 8.9 g cm⁻³
* SG: P4/mmm

***

16.
VASP calculation (GGA-PBE) on a relaxed Pm2PtCl crystal.

Unit cell a=8.771 b=8.771 c=8.771 alpha=28.50 beta=28.50 gamma=28.50
Element x y z (fractional)
Pm (0.109, 0.109, 0.109)
Pm (0.891, 0.891, 0.891)
Pt (0.500, 0.500, 0.500)
Cl (0.000, 0.000, 0.000)

* ΔE to the lowest computed polymorph: 3.17 kJ/mol of atoms
* formation energy (no corrections): -1.317 eV/atom
* final energy: -5.66 eV per atom
* calculated density: 6.4 g cm⁻³
* SG: R-3m

***

17.
VASP calculation (GGA-PBE) on a relaxed Pm3PtCl crystal.

Unit cell a=3.866 b=8.036 c=10.023 alpha=73.92 beta=90.00 gamma=76.11
Element x y z (fractional)
Pm (0.102, 0.295, 0.201)
Pm (0.329, 0.841, 0.442)
Pm (0.348, 0.803, 0.092)
Pm (0.652, 0.197, 0.908)
Pm (0.671, 0.159, 0.558)
Pm (0.898, 0.705, 0.799)
Pt (0.255, 0.991, 0.786)
Pt (0.745, 0.009, 0.214)
Cl (0.496, 0.509, 0.668)
Cl (0.504, 0.491, 0.332)

* formation energy (no corrections): -1.061 eV/atom
* final energy: -5.49 eV per atom
* calculated density: 7.6 g cm⁻³
* SG: P-1

***

18.
VASP calculation (GGA-PBE) on a relaxed Pm6PtRh2Cl3 crystal.

Unit cell a=7.103 b=7.103 c=7.854 alpha=98.63 beta=98.63 gamma=120.02
Element x y z (fractional)
Pm (0.092, 0.432, 0.795)
Pm (0.228, 0.228, 0.205)
Pm (0.432, 0.092, 0.795)
Pm (0.568, 0.908, 0.205)
Pm (0.772, 0.772, 0.795)
Pm (0.908, 0.568, 0.205)
Pt (0.500, 0.500, 0.000)
Rh (0.167, 0.833, 0.000)
Rh (0.833, 0.167, 0.000)
Cl (0.000, 0.000, 0.500)
Cl (0.330, 0.670, 0.500)
Cl (0.670, 0.330, 0.500)

* formation energy (no corrections): -1.238 eV/atom
* final energy: -5.80 eV per atom
* calculated density: 7.0 g cm⁻³
* SG: C2/m

***

19.
VASP calculation (GGA-PBE) on a relaxed Pm6Ru2PtCl3 crystal.

Unit cell a=7.035 b=7.035 c=7.920 alpha=98.48 beta=98.48 gamma=120.04
Element x y z (fractional)
Pm (0.086, 0.431, 0.794)
Pm (0.222, 0.222, 0.205)
Pm (0.431, 0.086, 0.794)
Pm (0.569, 0.914, 0.206)
Pm (0.778, 0.778, 0.795)
Pm (0.914, 0.569, 0.206)
Ru (0.166, 0.834, 0.000)
Ru (0.834, 0.166, 0.000)
Pt (0.500, 0.500, 0.000)
Cl (0.000, 0.000, 0.500)
Cl (0.328, 0.672, 0.500)
Cl (0.672, 0.328, 0.500)

* formation energy (no corrections): -1.066 eV/atom
* final energy: -5.95 eV per atom
* calculated density: 7.0 g cm⁻³
* SG: C2/m

***

20.
VASP calculation (GGA-PBE) on a relaxed Pm4PtSCl2 crystal.

Unit cell a=7.270 b=4.036 c=7.313 alpha=90.00 beta=108.48 gamma=90.00
Element x y z (fractional)
Pm (0.233, 0.000, 0.222)
Pm (0.266, 0.500, 0.777)
Pm (0.734, 0.500, 0.223)
Pm (0.767, 0.000, 0.778)
Pt (0.500, 0.000, 0.000)
S (0.000, 0.500, 0.000)
Cl (0.000, 0.000, 0.500)
Cl (0.500, 0.500, 0.500)

* formation energy (no corrections): -1.507 eV/atom
* final energy: -5.61 eV per atom
* calculated density: 7.2 g cm⁻³
* SG: P2/m

***

21.
VASP calculation (GGA-PBE) on a relaxed Pm8Pt3Se4Cl crystal.

Unit cell a=8.582 b=8.582 c=8.582 alpha=57.57 beta=57.57 gamma=57.57
Element x y z (fractional)
Pm (0.238, 0.753, 0.753)
Pm (0.243, 0.243, 0.243)
Pm (0.247, 0.247, 0.762)
Pm (0.247, 0.762, 0.247)
Pm (0.753, 0.238, 0.753)
Pm (0.753, 0.753, 0.238)
Pm (0.757, 0.757, 0.757)
Pm (0.762, 0.247, 0.247)
Pt (0.000, 0.000, 0.500)
Pt (0.000, 0.500, 0.000)
Pt (0.500, 0.000, 0.000)
Se (0.000, 0.000, 0.000)
Se (0.000, 0.500, 0.500)
Se (0.500, 0.000, 0.500)
Se (0.500, 0.500, 0.000)
Cl (0.500, 0.500, 0.500)

* formation energy (no corrections): -1.506 eV/atom
* final energy: -6.00 eV per atom
* calculated density: 8.3 g cm⁻³
* SG: R-3m

***

22.
VASP calculation (GGA-PBE) on a relaxed Pm4SiPtCl2 crystal.

Unit cell a=7.270 b=4.123 c=7.499 alpha=90.00 beta=108.45 gamma=90.00
Element x y z (fractional)
Pm (0.218, 0.000, 0.234)
Pm (0.229, 0.500, 0.742)
Pm (0.771, 0.500, 0.258)
Pm (0.782, 0.000, 0.766)
Si (0.000, 0.000, 0.500)
Pt (0.000, 0.500, 0.000)
Cl (0.500, 0.000, 0.000)
Cl (0.500, 0.500, 0.500)

* formation energy (no corrections): -1.218 eV/atom
* final energy: -5.49 eV per atom
* calculated density: 6.8 g cm⁻³
* SG: P2/m

***

23.
VASP calculation (GGA-PBE) on a relaxed PmSmPtCl crystal.

Unit cell a=8.328 b=8.328 c=8.328 alpha=27.28 beta=27.28 gamma=27.28
Element x y z (fractional)
Pm (0.000, 0.000, 0.000)
Sm (0.851, 0.851, 0.851)
Pt (0.257, 0.257, 0.257)
Cl (0.428, 0.428, 0.428)

* formation energy (no corrections): -1.257 eV/atom
* final energy: -5.60 eV per atom
* calculated density: 8.2 g cm⁻³
* SG: R3m

***

24.
VASP calculation (GGA-PBE) on a relaxed Pm3TePtCl crystal.

Unit cell a=8.542 b=4.277 c=9.622 alpha=90.00 beta=102.72 gamma=90.00
Element x y z (fractional)
Pm (0.059, 0.250, 0.338)
Pm (0.224, 0.250, 0.976)
Pm (0.384, 0.750, 0.611)
Pm (0.616, 0.250, 0.389)
Pm (0.776, 0.750, 0.024)
Pm (0.941, 0.750, 0.662)
Te (0.314, 0.750, 0.256)
Te (0.686, 0.250, 0.744)
Pt (0.165, 0.250, 0.650)
Pt (0.835, 0.750, 0.350)
Cl (0.408, 0.750, 0.902)
Cl (0.592, 0.250, 0.098)

* formation energy (no corrections): -1.231 eV/atom
* final energy: -5.44 eV per atom
* calculated density: 7.7 g cm⁻³
* SG: P2_1/m

***

25.
VASP calculation (GGA-PBE) on a relaxed Pm8Te4Pt3Cl crystal.

Unit cell a=8.900 b=8.900 c=8.900 alpha=57.22 beta=57.22 gamma=57.22
Element x y z (fractional)
Pm (0.227, 0.748, 0.748)
Pm (0.237, 0.237, 0.237)
Pm (0.252, 0.252, 0.773)
Pm (0.252, 0.773, 0.252)
Pm (0.748, 0.227, 0.748)
Pm (0.748, 0.748, 0.227)
Pm (0.763, 0.763, 0.763)
Pm (0.773, 0.252, 0.252)
Te (0.000, 0.000, 0.000)
Te (0.000, 0.500, 0.500)
Te (0.500, 0.000, 0.500)
Te (0.500, 0.500, 0.000)
Pt (0.000, 0.000, 0.500)
Pt (0.000, 0.500, 0.000)
Pt (0.500, 0.000, 0.000)
Cl (0.500, 0.500, 0.500)

* formation energy (no corrections): -1.312 eV/atom
* final energy: -5.72 eV per atom
* calculated density: 8.2 g cm⁻³
* SG: R-3m